The following is a DFT calculation (GGA-PBEsol) of SrLi2Zn after structural relaxation.

```
SrLi2Zn
1.0
2.3118 1.3347 5.4810
-2.3118 1.3347 5.4810
0.0000 -2.6694 5.4810
Sr Li Zn
1 2 1
direct
0.0000 0.0000 0.0000
0.5134 0.5134 0.5134
0.8044 0.8044 0.8044
0.2002 0.2002 0.2002
```

ΔE_f ... -49 meV/atom
Space group ... No. 160

***

The following is a DFT calculation (GGA-PBEsol) of SrLi4Zn after structural relaxation.

```
SrLi4Zn
1.0
0.0000 4.0098 4.0098
4.0098 0.0000 4.0098
4.0098 4.0098 0.0000
Sr Li Zn
1 4 1
direct
0.0000 0.0000 0.0000
0.1341 0.6220 0.6220
0.6220 0.1341 0.6220
0.6220 0.6220 0.1341
0.6220 0.6220 0.6220
0.2500 0.2500 0.2500
```

ΔE_f ... 30 meV/atom
Space group ... No. 216

***

The following is a DFT calculation (GGA-PBEsol) of SrLiZn2 after structural relaxation.

```
SrLiZn2
1.0
3.7790 0.0000 0.0000
0.0000 4.3251 0.0000
-1.8769 0.0000 5.8789
Sr Li Zn
1 1 2
direct
0.0000 0.0000 0.0000
0.2921 0.5000 0.5867
0.6247 0.5000 0.2509
0.7260 0.0000 0.4560
```

ΔE_f ... -80 meV/atom
Space group ... No. 6

***

The following is a DFT calculation (GGA-PBEsol) of SrLiZn2 after structural relaxation.

```
SrLiZn2
1.0
3.8236 -2.2045 0.0000
3.8236 2.2045 0.0000
-2.5231 0.0000 5.3978
Sr Li Zn
1 1 2
direct
0.0000 0.0000 0.0000
0.8099 0.8099 0.4272
0.1998 0.1998 0.5974
0.5201 0.5201 0.5582
```

ΔE_f ... -164 meV/atom
Space group ... No. 8

***

The following is a DFT calculation (GGA-PBEsol) of SrLiZn2 after structural relaxation.

```
SrLiZn2
1.0
3.8574 -2.2212 0.0000
3.8574 2.2212 0.0000
-2.5562 0.0000 5.4009
Sr Li Zn
1 1 2
direct
0.0000 0.0000 0.0000
0.5000 0.5000 0.5000
0.1906 0.1906 0.5722
0.8094 0.8094 0.4278
```

ΔE_f ... -157 meV/atom
Space group ... No. 12

***

The following is a DFT calculation (GGA-PBEsol) of SrLi2Zn2 after structural relaxation.

```
SrLi2Zn2
1.0
-2.1470 2.1470 6.0894
2.1470 -2.1470 6.0894
2.1470 2.1470 -6.0894
Sr Li Zn
1 2 2
direct
0.0000 0.0000 0.0000
0.2500 0.7500 0.5000
0.7500 0.2500 0.5000
0.3948 0.3948 0.0000
0.6052 0.6052 0.0000
```

ΔE_f ... -91 meV/atom
Space group ... No. 139